The following is a DFT calculation (SCAN) of MnAlNi2 at its PBEsol-relaxed geometry.

Geometry as CIF:
```
data_MnAlNi2
_chemical_formula_sum 'Mn1 Al1 Ni2'
_cell_length_a 2.6470
_cell_length_b 3.4855
_cell_length_c 5.0581
_cell_angle_alpha 90.00
_cell_angle_beta 90.00
_cell_angle_gamma 90.00
_symmetry_space_group_name_H-M 'P 1'
_symmetry_Int_Tables_number 1
loop_
_symmetry_equiv_pos_as_xyz
'x,y,z'
loop_
_atom_site_label
_atom_site_fract_x
_atom_site_fract_y
_atom_site_fract_z
_atom_site_occupancy
Al1 0.0000 0.0000 0.4802 1
Ni1 0.0000 0.0000 0.9900 1
Ni2 0.5000 0.5000 0.2591 1
Mn1 0.5000 0.5000 0.7707 1
```

Magnetization, μB per cell: 4.30
Formation energy from the elements, eV/atom: -0.390
Crystal system: orthorhombic
Space group: Pmm2
DFT total energy, eV per atom: -14.979